Record 1
An optimized crystal structure of MgSbBr2, computed with PBE.

Computed properties:
Relative energy among the computed polymorphs = 227 meV/atom
Formation energy without anion corrections = -207.1 kJ/mol of formula units
Calculated volume = 137 Å³ per cell
D(E_F) = 0.384 states/eV per atom

Geometry as CIF:
```
data_MgSbBr2
_cell_length_a 3.315
_cell_length_b 3.315
_cell_length_c 12.456
_cell_angle_alpha 90.00
_cell_angle_beta 90.00
_cell_angle_gamma 90.00
_space_group_name_H-M_alt 'P 1'
_space_group_IT_number 1
_space_group_name_Hall 'P 1'
loop_
_atom_site_label
_atom_site_type_symbol
_atom_site_fract_x
_atom_site_fract_y
_atom_site_fract_z
Mg1 Mg 0.000 0.000 0.000
Sb1 Sb 0.000 0.000 0.500
Br1 Br 0.500 0.500 0.132
Br2 Br 0.500 0.500 0.868
```

***

Record 2
An optimized crystal structure of KFeP3, computed with PBE.

Computed properties:
Relative energy among the computed polymorphs = 0 meV/atom
Calculated volume = 94 Å³ per cell
Energy relative to the elements = 0.3421 eV per atom
D(E_F) = 1.020 states/eV per atom

Geometry as CIF:
```
data_KFeP3
_cell_length_a 4.541
_cell_length_b 4.541
_cell_length_c 4.541
_cell_angle_alpha 90.00
_cell_angle_beta 90.00
_cell_angle_gamma 90.00
_space_group_name_H-M_alt 'P 1'
_space_group_IT_number 1
_space_group_name_Hall 'P 1'
loop_
_atom_site_label
_atom_site_type_symbol
_atom_site_fract_x
_atom_site_fract_y
_atom_site_fract_z
K1 K 0.000 0.000 0.000
Fe1 Fe 0.500 0.500 0.500
P1 P 0.000 0.500 0.500
P2 P 0.500 0.000 0.500
P3 P 0.500 0.500 0.000
```

***

Record 3
An optimized crystal structure of BaSbSe2, computed with PBE.

Computed properties:
Formation energy without anion corrections = -308.7 kJ/mol of formula units
Calculated volume = 648 Å³ per cell
D(E_F) = 0.379 states/eV per atom

Geometry as CIF:
```
data_BaSbSe2
_cell_length_a 6.295
_cell_length_b 6.295
_cell_length_c 16.362
_cell_angle_alpha 90.00
_cell_angle_beta 90.00
_cell_angle_gamma 90.00
_space_group_name_H-M_alt 'P 1'
_space_group_IT_number 1
_space_group_name_Hall 'P 1'
loop_
_atom_site_label
_atom_site_type_symbol
_atom_site_fract_x
_atom_site_fract_y
_atom_site_fract_z
Ba1 Ba 0.000 0.000 0.000
Ba2 Ba 0.000 0.500 0.250
Ba3 Ba 0.500 0.000 0.750
Ba4 Ba 0.500 0.500 0.500
Sb1 Sb 0.000 0.000 0.500
Sb2 Sb 0.000 0.500 0.750
Sb3 Sb 0.500 0.000 0.250
Sb4 Sb 0.500 0.500 0.000
Se1 Se 0.193 0.250 0.625
Se2 Se 0.250 0.693 0.875
Se3 Se 0.250 0.807 0.375
Se4 Se 0.307 0.250 0.125
Se5 Se 0.693 0.750 0.125
Se6 Se 0.750 0.193 0.375
Se7 Se 0.750 0.307 0.875
Se8 Se 0.807 0.750 0.625
```

***

Record 4
An optimized crystal structure of BaTa3Cu, computed with PBE.

Computed properties:
Relative energy among the computed polymorphs = 0 meV/atom
Calculated volume = 117 Å³ per cell
Energy relative to the elements = 1.4571 eV per atom
D(E_F) = 1.730 states/eV per atom

Geometry as CIF:
```
data_BaTa3Cu
_cell_length_a 4.895
_cell_length_b 4.895
_cell_length_c 4.895
_cell_angle_alpha 90.00
_cell_angle_beta 90.00
_cell_angle_gamma 90.00
_space_group_name_H-M_alt 'P 1'
_space_group_IT_number 1
_space_group_name_Hall 'P 1'
loop_
_atom_site_label
_atom_site_type_symbol
_atom_site_fract_x
_atom_site_fract_y
_atom_site_fract_z
Ba1 Ba 0.000 0.000 0.000
Ta1 Ta 0.000 0.500 0.500
Ta2 Ta 0.500 0.000 0.500
Ta3 Ta 0.500 0.500 0.000
Cu1 Cu 0.500 0.500 0.500
```